12
Lattice="5.9766 0.0000 0.0000 2.9883 8.6181 2.6428 2.9883 2.1452 8.6499" Properties=species:S:1:pos:R:3 comment="Tb4Nd7In PBE relaxed" m_tot_mub_per_fu=0.00 de_polymorph_mev_per_atom=150 ef_mev_per_atom=184 n_ef_per_ev_cell=17.638 pbc="T T T"
Tb 5.9766 3.9195 6.2693
Tb 5.9766 6.8437 5.0234
Tb 8.9649 8.4686 9.4349
Tb 2.9883 2.2947 1.8578
Nd 8.9649 8.7229 5.9710
Nd 2.9883 2.0403 5.3217
Nd 2.9883 5.4959 3.5905
Nd 8.9649 5.2674 7.7022
Nd 5.9766 7.1146 8.2776
Nd 2.9883 0.0000 0.0000
Nd 5.9766 3.6487 3.0151
In 0.0000 0.0000 0.0000